A plane-wave DFT calculation with PBE was carried out for a geometry-optimized Cs12S3Cl5 structure.

Results
- space group = Ia-3d
- uncorrected formation energy (kJ per mole of atoms) = -128.6

Cell and atoms, written as CIF:
```
data_Cs12S3Cl5
_symmetry_space_group_name_H-M 'P 1'
_symmetry_Int_Tables_number 1
_cell_length_a 17.6444
_cell_length_b 17.6444
_cell_length_c 17.6444
_cell_angle_alpha 109.47
_cell_angle_beta 109.47
_cell_angle_gamma 109.47
loop_
_symmetry_equiv_pos_as_xyz
'x,y,z'
loop_
_atom_site_label
_atom_site_type_symbol
_atom_site_fract_x
_atom_site_fract_y
_atom_site_fract_z
Cl1 Cl 0.5000 0.5000 0.0000
Cl2 Cl 0.0000 0.5000 0.0000
Cl3 Cl 0.8750 0.2500 0.6250
Cl4 Cl 0.3750 0.2500 0.1250
Cl5 Cl 0.7500 0.1250 0.8750
Cl6 Cl 0.8750 0.6250 0.7500
Cl7 Cl 0.6250 0.7500 0.8750
Cl8 Cl 0.1250 0.3750 0.2500
Cl9 Cl 0.1250 0.7500 0.3750
Cl10 Cl 0.0000 0.0000 0.0000
Cl11 Cl 0.5000 0.5000 0.5000
Cl12 Cl 0.7500 0.6250 0.3750
Cl13 Cl 0.0000 0.0000 0.5000
Cl14 Cl 0.2500 0.8750 0.1250
Cl15 Cl 0.5000 0.0000 0.0000
Cl16 Cl 0.2500 0.3750 0.6250
Cl17 Cl 0.0000 0.5000 0.5000
Cl18 Cl 0.3750 0.1250 0.7500
Cl19 Cl 0.5000 0.0000 0.5000
Cl20 Cl 0.6250 0.8750 0.2500
Cs1 Cs 0.5542 0.2262 0.1380
Cs2 Cs 0.1380 0.7262 0.5542
Cs3 Cs 0.9118 0.0838 0.6380
Cs4 Cs 0.5838 0.6380 0.4118
Cs5 Cs 0.8620 0.2738 0.4458
Cs6 Cs 0.8280 0.9162 0.0542
Cs7 Cs 0.9162 0.8280 0.5542
Cs8 Cs 0.0882 0.9162 0.3620
Cs9 Cs 0.5838 0.9458 0.6720
Cs10 Cs 0.4458 0.7738 0.8620
Cs11 Cs 0.5542 0.3280 0.9162
Cs12 Cs 0.4118 0.2738 0.3280
Cs13 Cs 0.5882 0.7262 0.6720
Cs14 Cs 0.3280 0.7738 0.4118
Cs15 Cs 0.9162 0.0882 0.8620
Cs16 Cs 0.9458 0.3620 0.2738
Cs17 Cs 0.0838 0.9118 0.1380
Cs18 Cs 0.9118 0.8280 0.7738
Cs19 Cs 0.1720 0.0838 0.9458
Cs20 Cs 0.6380 0.0542 0.2262
Cs21 Cs 0.6380 0.5838 0.9118
Cs22 Cs 0.0838 0.1720 0.4458
Cs23 Cs 0.6720 0.4458 0.5838
Cs24 Cs 0.2738 0.8620 0.9458
Cs25 Cs 0.4162 0.3620 0.5882
Cs26 Cs 0.2262 0.5542 0.6380
Cs27 Cs 0.2738 0.4118 0.8280
Cs28 Cs 0.2262 0.6720 0.0882
Cs29 Cs 0.6720 0.2262 0.5882
Cs30 Cs 0.7738 0.4458 0.3620
Cs31 Cs 0.0542 0.6380 0.7262
Cs32 Cs 0.8620 0.5882 0.9162
Cs33 Cs 0.7738 0.3280 0.9118
Cs34 Cs 0.5882 0.8620 0.4162
Cs35 Cs 0.4458 0.6720 0.0838
Cs36 Cs 0.8280 0.9118 0.2738
Cs37 Cs 0.0882 0.1720 0.2262
Cs38 Cs 0.3620 0.9458 0.7738
Cs39 Cs 0.3280 0.5542 0.4162
Cs40 Cs 0.1720 0.0882 0.7262
Cs41 Cs 0.9458 0.5838 0.1720
Cs42 Cs 0.7262 0.1380 0.0542
Cs43 Cs 0.1380 0.4118 0.0838
Cs44 Cs 0.4118 0.1380 0.5838
Cs45 Cs 0.7262 0.5882 0.1720
Cs46 Cs 0.3620 0.4162 0.0882
Cs47 Cs 0.4162 0.0542 0.3280
Cs48 Cs 0.0542 0.4162 0.8280
S1 S 0.7500 0.3750 0.1250
S2 S 0.8750 0.1250 0.2500
S3 S 0.2500 0.1250 0.3750
S4 S 0.3750 0.7500 0.6250
S5 S 0.1250 0.2500 0.8750
S6 S 0.2500 0.6250 0.8750
S7 S 0.8750 0.7500 0.1250
S8 S 0.1250 0.8750 0.7500
S9 S 0.7500 0.8750 0.6250
S10 S 0.6250 0.3750 0.7500
S11 S 0.3750 0.6250 0.2500
S12 S 0.6250 0.2500 0.3750
```


A plane-wave DFT calculation with PBE was carried out for a geometry-optimized Li5I2Cl2 structure.

Results
- space group = Cmce
- uncorrected formation energy (kJ per mole of atoms) = -106.0

Cell and atoms, written as CIF:
```
data_Li5I2Cl2
_symmetry_space_group_name_H-M 'P 1'
_symmetry_Int_Tables_number 1
_cell_length_a 8.3596
_cell_length_b 7.6580
_cell_length_c 7.6580
_cell_angle_alpha 120.84
_cell_angle_beta 90.00
_cell_angle_gamma 90.00
loop_
_symmetry_equiv_pos_as_xyz
'x,y,z'
loop_
_atom_site_label
_atom_site_type_symbol
_atom_site_fract_x
_atom_site_fract_y
_atom_site_fract_z
Li1 Li 0.0000 0.0000 0.0000
Li2 Li 0.8012 0.5724 0.8188
Li3 Li 0.5000 0.5000 0.5000
Li4 Li 0.6988 0.3188 0.0724
Li5 Li 0.8012 0.8188 0.5724
Li6 Li 0.1988 0.4276 0.1812
Li7 Li 0.3012 0.9276 0.6812
Li8 Li 0.6988 0.0724 0.3188
Li9 Li 0.1988 0.1812 0.4276
Li10 Li 0.3012 0.6812 0.9276
I1 I 0.0000 0.2183 0.7817
I2 I 0.0000 0.7817 0.2183
I3 I 0.5000 0.7183 0.2817
I4 I 0.5000 0.2817 0.7183
Cl1 Cl 0.7836 0.4460 0.4460
Cl2 Cl 0.2836 0.0540 0.0540
Cl3 Cl 0.2164 0.5540 0.5540
Cl4 Cl 0.7164 0.9460 0.9460
```


A plane-wave DFT calculation with PBE was carried out for a geometry-optimized PrRhPb structure.

Results
- space group = P-6m2
- ΔE_f (eV/atom) = -0.471

Cell and atoms, written as CIF:
```
data_PrRhPb
_symmetry_space_group_name_H-M 'P 1'
_symmetry_Int_Tables_number 1
_cell_length_a 3.8124
_cell_length_b 4.7555
_cell_length_c 4.7555
_cell_angle_alpha 120.00
_cell_angle_beta 90.00
_cell_angle_gamma 90.00
loop_
_symmetry_equiv_pos_as_xyz
'x,y,z'
loop_
_atom_site_label
_atom_site_type_symbol
_atom_site_fract_x
_atom_site_fract_y
_atom_site_fract_z
Pr1 Pr 0.6666 0.6667 0.3333
Pb1 Pb 0.1666 0.3333 0.6667
Rh1 Rh 0.1668 0.0000 0.0000
```


A plane-wave DFT calculation with PBE was carried out for a geometry-optimized CaCo3Sb structure.

Results
- energy above the lowest structure with this stoichiometry (eV/atom) = 0.000
- space group = Pm-3m
- uncorrected formation energy (kJ per mole of atoms) = 60.2

Cell and atoms, written as CIF:
```
data_CaCo3Sb
_symmetry_space_group_name_H-M 'P 1'
_symmetry_Int_Tables_number 1
_cell_length_a 4.7386
_cell_length_b 4.7386
_cell_length_c 4.7386
_cell_angle_alpha 90.00
_cell_angle_beta 90.00
_cell_angle_gamma 90.00
loop_
_symmetry_equiv_pos_as_xyz
'x,y,z'
loop_
_atom_site_label
_atom_site_type_symbol
_atom_site_fract_x
_atom_site_fract_y
_atom_site_fract_z
Sb1 Sb 0.0000 0.0000 0.0000
Co1 Co 0.5000 0.0000 0.0000
Co2 Co 0.0000 0.0000 0.5000
Co3 Co 0.0000 0.5000 0.0000
Ca1 Ca 0.5000 0.5000 0.5000
```


A plane-wave DFT calculation with PBE was carried out for a geometry-optimized NaPdF structure.

Results
- energy above the lowest structure with this stoichiometry (eV/atom) = 0.365
- space group = P4/nmm
- uncorrected formation energy (kJ per mole of atoms) = -106.2

Cell and atoms, written as CIF:
```
data_NaPdF
_symmetry_space_group_name_H-M 'P 1'
_symmetry_Int_Tables_number 1
_cell_length_a 3.7634
_cell_length_b 3.7634
_cell_length_c 7.6596
_cell_angle_alpha 90.00
_cell_angle_beta 90.00
_cell_angle_gamma 90.00
loop_
_symmetry_equiv_pos_as_xyz
'x,y,z'
loop_
_atom_site_label
_atom_site_type_symbol
_atom_site_fract_x
_atom_site_fract_y
_atom_site_fract_z
Na1 Na 0.0000 0.5000 0.8696
Na2 Na 0.5000 0.0000 0.1304
F1 F 0.5000 0.5000 0.0000
F2 F 0.0000 0.0000 0.0000
Pd1 Pd 0.5000 0.0000 0.5457
Pd2 Pd 0.0000 0.5000 0.4543
```


A plane-wave DFT calculation with PBE was carried out for a geometry-optimized BaReNi structure.

Results
- energy above the lowest structure with this stoichiometry (eV/atom) = 0.783
- space group = F-43m
- ΔE_f (eV/atom) = 1.466

Cell and atoms, written as CIF:
```
data_BaReNi
_symmetry_space_group_name_H-M 'P 1'
_symmetry_Int_Tables_number 1
_cell_length_a 4.7397
_cell_length_b 4.7397
_cell_length_c 4.7397
_cell_angle_alpha 60.00
_cell_angle_beta 60.00
_cell_angle_gamma 60.00
loop_
_symmetry_equiv_pos_as_xyz
'x,y,z'
loop_
_atom_site_label
_atom_site_type_symbol
_atom_site_fract_x
_atom_site_fract_y
_atom_site_fract_z
Re1 Re 0.0000 0.0000 0.0000
Ni1 Ni 0.7500 0.7500 0.7500
Ba1 Ba 0.5000 0.5000 0.5000
```


A plane-wave DFT calculation with PBE was carried out for a geometry-optimized CaAg2AuCl6 structure.

Results
- space group = P1
- uncorrected formation energy (kJ per mole of atoms) = -87.8

Cell and atoms, written as CIF:
```
data_CaAg2AuCl6
_symmetry_space_group_name_H-M 'P 1'
_symmetry_Int_Tables_number 1
_cell_length_a 6.5899
_cell_length_b 7.3302
_cell_length_c 7.9855
_cell_angle_alpha 53.53
_cell_angle_beta 65.26
_cell_angle_gamma 61.49
loop_
_symmetry_equiv_pos_as_xyz
'x,y,z'
loop_
_atom_site_label
_atom_site_type_symbol
_atom_site_fract_x
_atom_site_fract_y
_atom_site_fract_z
Ca1 Ca 0.3189 0.3270 0.0326
Cl1 Cl 0.4324 0.7529 0.7736
Cl2 Cl 0.9615 0.5794 0.2147
Cl3 Cl 0.6640 0.1547 0.7809
Cl4 Cl 0.6061 0.2084 0.2826
Cl5 Cl 0.2119 0.8926 0.2829
Cl6 Cl 0.0535 0.4294 0.7677
Ag1 Ag 0.0392 0.9949 0.9303
Ag2 Ag 0.5562 0.5054 0.4154
Au1 Au 0.8180 0.8170 0.5344
```